Entry 1:
VASP calculation (PBE) on crystalline Ti2H3Pd at its relaxed geometry.

a b c (Å): 2.8949 2.8949 12.9616
angles (deg): 90.00 90.00 90.00
Space group P4/mmm (No. 123)
Inequivalent atoms, fractional coordinates:
Ti: 0.0000 0.0000 0.1458 (multiplicity 2)
Ti: 0.5000 0.5000 0.3384 (multiplicity 2)
H: 0.0000 0.0000 0.3628 (multiplicity 2)
H: 0.0000 0.5000 0.2397 (multiplicity 4)
Pd: 0.0000 0.0000 0.5000 (multiplicity 1)
Pd: 0.5000 0.5000 0.0000 (multiplicity 1)

E_tot, eV for the cell shown: -67.3
Crystal system: tetragonal
DOS at the Fermi energy, states/eV per atom: 0.564

---

Entry 2:
VASP calculation (PBE) on crystalline Rb2Ge2Br7 at its relaxed geometry.

a b c (Å): 11.8686 13.0087 6.6765
angles (deg): 90.00 102.48 90.00
Space group Cm (No. 8)
Inequivalent atoms, fractional coordinates:
Rb: 0.0000 0.2135 0.0000 (multiplicity 4)
Ge: 0.2150 0.5000 0.4179 (multiplicity 2)
Ge: 0.2715 0.0000 0.5677 (multiplicity 2)
Br: 0.0070 0.5000 0.4657 (multiplicity 2)
Br: 0.0754 0.0000 0.3284 (multiplicity 2)
Br: 0.2477 0.1476 0.7992 (multiplicity 4)
Br: 0.2543 0.3391 0.2324 (multiplicity 4)
Br: 0.3539 0.5000 0.7566 (multiplicity 2)

E_tot, eV for the cell shown: -66.9
Crystal system: monoclinic
DOS at the Fermi energy, states/eV per atom: 0.483

---

Entry 3:
VASP calculation (PBE) on crystalline ZnFe4Os at its relaxed geometry.

a b c (Å): 6.6659 6.6659 6.6659
angles (deg): 90.00 90.00 90.00
Space group F-43m (No. 216)
Inequivalent atoms, fractional coordinates:
Zn: 0.0000 0.0000 0.0000 (multiplicity 4)
Fe: 0.1244 0.1244 0.6244 (multiplicity 16)
Os: 0.2500 0.2500 0.2500 (multiplicity 4)

Energy of formation from the pure elements, eV per atom: 0.184
E_tot, eV for the cell shown: -181.0
Crystal system: cubic
DOS at the Fermi energy, states/eV per atom: 0.992

---

Entry 4:
VASP calculation (PBE) on crystalline Y8SnSb5 at its relaxed geometry.

a b c (Å): 9.2325 9.2325 9.2207
angles (deg): 90.00 90.00 90.00
Space group I-4 (No. 82)
Inequivalent atoms, fractional coordinates:
Y: 0.0712 0.1771 0.1975 (multiplicity 8)
Y: 0.0720 0.3222 0.5536 (multiplicity 8)
Sn: 0.0000 0.0000 0.5000 (multiplicity 2)
Sb: 0.0000 0.5000 0.2500 (multiplicity 2)
Sb: 0.1249 0.2501 0.8756 (multiplicity 8)

E_tot, eV for the cell shown: -180.2
Crystal system: tetragonal
DOS at the Fermi energy, states/eV per atom: 1.163